# Sc2SI, optimized geometry, DFT PBE
# total moment	0.13	μB per atom
# total energy	-20.352	eV/cell
data_Sc2SI
_symmetry_space_group_name_H-M 'P 1'
_symmetry_Int_Tables_number 1
_cell_length_a 9.338
_cell_length_b 9.338
_cell_length_c 9.338
_cell_angle_alpha 23.40
_cell_angle_beta 23.40
_cell_angle_gamma 23.40
loop_
_symmetry_equiv_pos_as_xyz
'x,y,z'
loop_
_atom_site_label
_atom_site_fract_x
_atom_site_fract_y
_atom_site_fract_z
_atom_site_occupancy
Sc1 0.085 0.085 0.085 1
Sc2 0.915 0.915 0.915 1
S1 0.000 0.000 0.000 1
I1 0.500 0.500 0.500 1

---

# KOsPt2, optimized geometry, DFT PBE
# total moment	0.00	μB per atom
# total energy	-22.529	eV/cell
# formation energy	0.470	eV per atom
data_KOsPt2
_symmetry_space_group_name_H-M 'P 1'
_symmetry_Int_Tables_number 1
_cell_length_a 4.367
_cell_length_b 2.731
_cell_length_c 7.091
_cell_angle_alpha 78.79
_cell_angle_beta 90.00
_cell_angle_gamma 90.00
loop_
_symmetry_equiv_pos_as_xyz
'x,y,z'
loop_
_atom_site_label
_atom_site_fract_x
_atom_site_fract_y
_atom_site_fract_z
_atom_site_occupancy
Os1 0.500 0.759 0.859 1
Pt1 0.500 0.089 0.193 1
Pt2 0.000 0.208 0.960 1
K1 0.000 0.444 0.488 1

---

# LaBeSi2Rh, optimized geometry, DFT PBE
# total moment	0.00	μB per atom
# total energy	-30.494	eV/cell
data_LaBeSi2Rh
_symmetry_space_group_name_H-M 'P 1'
_symmetry_Int_Tables_number 1
_cell_length_a 4.065
_cell_length_b 4.065
_cell_length_c 5.888
_cell_angle_alpha 110.19
_cell_angle_beta 110.19
_cell_angle_gamma 90.00
loop_
_symmetry_equiv_pos_as_xyz
'x,y,z'
loop_
_atom_site_label
_atom_site_fract_x
_atom_site_fract_y
_atom_site_fract_z
_atom_site_occupancy
Rh1 0.750 0.250 0.500 1
Si1 0.376 0.376 0.753 1
Si2 0.624 0.624 0.247 1
Be1 0.250 0.750 0.500 1
La1 0.000 0.000 0.000 1

---

Repeat the first record exactly.
# Sc2SI, optimized geometry, DFT PBE
# total moment	0.13	μB per atom
# total energy	-20.352	eV/cell
data_Sc2SI
_symmetry_space_group_name_H-M 'P 1'
_symmetry_Int_Tables_number 1
_cell_length_a 9.338
_cell_length_b 9.338
_cell_length_c 9.338
_cell_angle_alpha 23.40
_cell_angle_beta 23.40
_cell_angle_gamma 23.40
loop_
_symmetry_equiv_pos_as_xyz
'x,y,z'
loop_
_atom_site_label
_atom_site_fract_x
_atom_site_fract_y
_atom_site_fract_z
_atom_site_occupancy
Sc1 0.085 0.085 0.085 1
Sc2 0.915 0.915 0.915 1
S1 0.000 0.000 0.000 1
I1 0.500 0.500 0.500 1